DFT (PBE-GGA) results for a relaxed structure of Fe5P.

The space group is P-62m (No. 189) and the conventional cell measures 4.2511, 4.2511 and 4.0375 Å, with angles of 90.00, 90.00 and 120.00 degrees. The distinct sites, in fractional coordinates, are Fe at (0.0000, 0.6738, 0.0000), Fe at (0.3333, 0.6667, 0.5000) and P at (0.0000, 0.0000, 0.5000).

The value obtained for the formation energy is -0.038 eV per atom. The density comes out at 8.2 g/cm3. As for the energy relative to the lowest polymorph listed for this composition: 74.7 meV/atom.


DFT (PBE-GGA) results for a relaxed structure of PmNpGeSb.

The space group is F-43m (No. 216) and the conventional cell measures 7.3982, 7.3982 and 7.3982 Å, with angles of 90.00, 90.00 and 90.00 degrees. The distinct sites, in fractional coordinates, are Pm at (0.0000, 0.0000, 0.0000), Np at (0.2500, 0.2500, 0.7500), Ge at (0.2500, 0.2500, 0.2500) and Sb at (0.0000, 0.0000, 0.5000).

The energy relative to the elements, uncorrected comes out at 0.144 eV/atom. The density comes out at 9.5 g/cm3.


DFT (PBE-GGA) results for a relaxed structure of AgBIr2.

The space group is R-3m (No. 166, hexagonal axes) and the conventional cell measures 2.8139, 2.8139 and 23.5853 Å, with angles of 90.00, 90.00 and 120.00 degrees. The distinct sites, in fractional coordinates, are Ag at (0.0000, 0.0000, 0.0000), B at (0.0000, 0.0000, 0.5000) and Ir at (0.0000, 0.0000, 0.2290).

The value obtained for the formation energy is 0.026 eV per atom. The density comes out at 15.5 g/cm3.


DFT (PBE-GGA) results for a relaxed structure of Tb6Pm3Ho2Zr.

The space group is C2/m (No. 12) and the conventional cell measures 6.1400, 10.6176 and 11.7280 Å, with angles of 90.00, 99.97 and 90.00 degrees. The distinct sites, in fractional coordinates, are Tb at (0.2445, 0.1634, 0.2418), Tb at (0.2455, 0.0000, 0.7586), Pm at (0.0000, 0.1662, 0.5000), Pm at (0.0000, 0.5000, 0.5000), Ho at (0.0000, 0.3332, 0.0000) and Zr at (0.0000, 0.0000, 0.0000).

The value obtained for the formation energy is 0.044 eV per atom. The density comes out at 8.0 g/cm3.


DFT (PBE-GGA) results for a relaxed structure of NdY5P6.

The space group is C2/m (No. 12) and the conventional cell measures 7.0024, 12.1224 and 6.9997 Å, with angles of 90.00, 109.50 and 90.00 degrees. The distinct sites, in fractional coordinates, are Nd at (0.0000, 0.0000, 0.0000), Y at (0.0000, 0.1658, 0.5000), Y at (0.0000, 0.3330, 0.0000), Y at (0.0000, 0.5000, 0.5000), P at (0.2460, 0.5000, 0.2526) and P at (0.2465, 0.3309, 0.7468).

The value obtained for the formation energy is -1.609 eV per atom. The density comes out at 4.6 g/cm3.


DFT (PBE-GGA) results for a relaxed structure of Pr2NiSn4Au3.

The space group is P-4m2 (No. 115) and the conventional cell measures 4.5629, 4.5629 and 11.4749 Å, with angles of 90.00, 90.00 and 90.00 degrees. The distinct sites, in fractional coordinates, are Pr at (0.0000, 0.5000, 0.2249), Ni at (0.5000, 0.5000, 0.0000), Sn at (0.0000, 0.0000, 0.5000), Sn at (0.0000, 0.5000, 0.8787), Sn at (0.5000, 0.5000, 0.5000), Au at (0.0000, 0.0000, 0.0000) and Au at (0.0000, 0.5000, 0.6468).

The value obtained for the formation energy is -0.526 eV per atom. The density comes out at 9.8 g/cm3.


DFT (PBE-GGA) results for a relaxed structure of KNaS5.

The space group is P-1 (No. 2) and the conventional cell measures 6.3753, 8.2059 and 8.4134 Å, with angles of 69.60, 81.06 and 74.62 degrees. The distinct sites, in fractional coordinates, are K at (0.1303, 0.2509, 0.4769), Na at (0.0000, 0.0000, 0.0000), Na at (0.5000, 0.5000, 0.0000), S at (0.0887, 0.4794, 0.8866), S at (0.1079, 0.6347, 0.1937), S at (0.3740, 0.0064, 0.2471), S at (0.3768, 0.8801, 0.7607) and S at (0.3941, 0.7704, 0.4309).

The energy relative to the elements, uncorrected comes out at -0.486 eV/atom. The density comes out at 1.9 g/cm3.


DFT (PBE-GGA) results for a relaxed structure of NpTlI6.

The space group is C2/m (No. 12) and the conventional cell measures 8.1874, 13.2337 and 7.9028 Å, with angles of 90.00, 106.65 and 90.00 degrees. The distinct sites, in fractional coordinates, are Np at (0.0000, 0.0000, 0.0000), Tl at (0.0000, 0.5000, 0.5000), I at (0.1970, 0.1578, 0.2330) and I at (0.2500, 0.0000, 0.7997).

The energy relative to the elements, uncorrected comes out at -0.639 eV/atom. The density comes out at 4.9 g/cm3. As for the energy relative to the lowest polymorph listed for this composition: 0.0 meV/atom.


DFT (PBE-GGA) results for a relaxed structure of PmNp2O8.

The space group is P-3 (No. 147) and the conventional cell measures 7.0139, 7.0139 and 4.2328 Å, with angles of 90.00, 90.00 and 120.00 degrees. The distinct sites, in fractional coordinates, are Pm at (0.0000, 0.0000, 0.0000), Np at (0.3333, 0.6667, 0.2568), O at (0.1726, 0.8261, 0.2549) and O at (0.3333, 0.6667, 0.7588).

The energy relative to the elements, uncorrected comes out at -2.518 eV/atom. The density comes out at 6.9 g/cm3.


DFT (PBE-GGA) results for a relaxed structure of TbPrSmDy3.

The space group is C2/m (No. 12) and the conventional cell measures 19.9027, 5.6589 and 7.0451 Å, with angles of 90.00, 90.27 and 90.00 degrees. The distinct sites, in fractional coordinates, are Tb at (0.1491, 0.0000, 0.4588), Pr at (0.1459, 0.0000, 0.0296), Sm at (0.0545, 0.5000, 0.2613), Dy at (0.0225, 0.0000, 0.7409), Dy at (0.1645, 0.5000, 0.7350) and Dy at (0.2207, 0.5000, 0.2460).

The value obtained for the formation energy is 0.192 eV per atom. The density comes out at 7.8 g/cm3.


DFT (PBE-GGA) results for a relaxed structure of Ho4Tm2In.

The space group is P2_1/m (No. 11) and the conventional cell measures 5.5605, 6.7031 and 11.5615 Å, with angles of 90.00, 103.19 and 90.00 degrees. The distinct sites, in fractional coordinates, are Ho at (0.1062, 0.2500, 0.1374), Ho at (0.2303, 0.7500, 0.4203), Ho at (0.3398, 0.5085, 0.7086), Tm at (0.2048, 0.2500, 0.4321), Tm at (0.4626, 0.7500, 0.0211) and In at (0.0294, 0.7500, 0.1487).

The value obtained for the formation energy is -0.021 eV per atom. The density comes out at 8.8 g/cm3. As for the energy relative to the lowest polymorph listed for this composition: 16.2 meV/atom.


DFT (PBE-GGA) results for a relaxed structure of Si2IrAu.

The space group is P4mm (No. 99) and the conventional cell measures 2.8833, 2.8833 and 7.4142 Å, with angles of 90.00, 90.00 and 90.00 degrees. The distinct sites, in fractional coordinates, are Si at (0.0000, 0.0000, 0.0000), Si at (0.5000, 0.5000, 0.2437), Ir at (0.5000, 0.5000, 0.8165) and Au at (0.0000, 0.0000, 0.5194).

The energy relative to the elements, uncorrected comes out at 0.084 eV/atom. The density comes out at 12.0 g/cm3. As for the energy relative to the lowest polymorph listed for this composition: 295.1 meV/atom.


DFT (PBE-GGA) results for a relaxed structure of Cr2ReRu.

The space group is R3m (No. 160, hexagonal axes) and the conventional cell measures 2.7137, 2.7137 and 25.0894 Å, with angles of 90.00, 90.00 and 120.00 degrees. The distinct sites, in fractional coordinates, are Cr at (0.0000, 0.0000, 0.0000), Cr at (0.0000, 0.0000, 0.2607), Re at (0.0000, 0.0000, 0.7524) and Ru at (0.0000, 0.0000, 0.5114).

The value obtained for the formation energy is 0.237 eV per atom. The density comes out at 12.2 g/cm3.


DFT (PBE-GGA) results for a relaxed structure of Rb2Np3AgO12.

The space group is R-3m (No. 166, hexagonal axes) and the conventional cell measures 8.0509, 8.0509 and 17.9265 Å, with angles of 90.00, 90.00 and 120.00 degrees. The distinct sites, in fractional coordinates, are Rb at (0.0000, 0.0000, 0.1214), Np at (0.0000, 0.5000, 0.0000), Ag at (0.0000, 0.0000, 0.5000), O at (0.0228, 0.5114, 0.1038) and O at (0.0775, 0.5387, 0.3415).

The energy relative to the elements, uncorrected comes out at -2.268 eV/atom. The density comes out at 5.9 g/cm3.


DFT (PBE-GGA) results for a relaxed structure of ZrTcCl2.

The space group is Fm-3m (No. 225) and the conventional cell measures 6.3653, 6.3653 and 6.3653 Å, with angles of 90.00, 90.00 and 90.00 degrees. The distinct sites, in fractional coordinates, are Zr at (0.0000, 0.0000, 0.0000), Tc at (0.0000, 0.0000, 0.5000) and Cl at (0.2500, 0.2500, 0.2500).

The energy relative to the elements, uncorrected comes out at 0.239 eV/atom. The density comes out at 6.7 g/cm3. As for the energy relative to the lowest polymorph listed for this composition: 794.1 meV/atom.


DFT (PBE-GGA) results for a relaxed structure of CaYPd3.

The space group is Pm-3m (No. 221) and the conventional cell measures 5.1111, 5.1111 and 5.1111 Å, with angles of 90.00, 90.00 and 90.00 degrees. The distinct sites, in fractional coordinates, are Ca at (0.0000, 0.0000, 0.0000), Y at (0.5000, 0.5000, 0.5000) and Pd at (0.0000, 0.5000, 0.5000).

The value obtained for the formation energy is -0.029 eV per atom. The density comes out at 5.6 g/cm3. As for the energy relative to the lowest polymorph listed for this composition: 0.0 meV/atom.


DFT (PBE-GGA) results for a relaxed structure of GaMoPt2N.

The space group is P4/mmm (No. 123) and the conventional cell measures 4.1259, 4.1259 and 4.3401 Å, with angles of 90.00, 90.00 and 90.00 degrees. The distinct sites, in fractional coordinates, are Ga at (0.0000, 0.0000, 0.0000), Mo at (0.5000, 0.5000, 0.0000), Pt at (0.0000, 0.5000, 0.5000) and N at (0.0000, 0.0000, 0.5000).

The energy relative to the elements, uncorrected comes out at 0.670 eV/atom. The density comes out at 12.8 g/cm3.


DFT (PBE-GGA) results for a relaxed structure of FeRu2Cl.

The space group is I-42d (No. 122) and the conventional cell measures 5.4491, 5.4491 and 9.8910 Å, with angles of 90.00, 90.00 and 90.00 degrees. The distinct sites, in fractional coordinates, are Fe at (0.0000, 0.0000, 0.0000), Ru at (0.2294, 0.2500, 0.1250) and Cl at (0.0000, 0.0000, 0.5000).

The energy relative to the elements, uncorrected comes out at 1.010 eV/atom. The density comes out at 6.6 g/cm3. As for the energy relative to the lowest polymorph listed for this composition: 706.0 meV/atom.


DFT (PBE-GGA) results for a relaxed structure of TbY4Tm2.

The space group is C2/m (No. 12) and the conventional cell measures 16.6356, 3.5350 and 8.6991 Å, with angles of 90.00, 119.46 and 90.00 degrees. The distinct sites, in fractional coordinates, are Tb at (0.0000, 0.0000, 0.0000), Y at (0.1391, 0.5000, 0.8305), Y at (0.2041, 0.5000, 0.2936) and Tm at (0.0702, 0.0000, 0.4298).

The value obtained for the formation energy is 0.031 eV per atom. The density comes out at 6.4 g/cm3. As for the energy relative to the lowest polymorph listed for this composition: 0.0 meV/atom.


DFT (PBE-GGA) results for a relaxed structure of ReOsCl2.

The space group is Cm (No. 8) and the conventional cell measures 6.3086, 3.6417 and 9.3148 Å, with angles of 90.00, 103.91 and 90.00 degrees. The distinct sites, in fractional coordinates, are Re at (0.0000, 0.0000, 0.0000), Os at (0.3789, 0.0000, 0.1284), Cl at (0.4116, 0.5000, 0.7520) and Cl at (0.4667, 0.0000, 0.3764).

The energy relative to the elements, uncorrected comes out at -0.014 eV/atom. The density comes out at 7.2 g/cm3. As for the energy relative to the lowest polymorph listed for this composition: 0.0 meV/atom.


DFT (PBE-GGA) results for a relaxed structure of PmScCo.

The space group is I4mm (No. 107) and the conventional cell measures 3.2888, 3.2888 and 12.2616 Å, with angles of 90.00, 90.00 and 90.00 degrees. The distinct sites, in fractional coordinates, are Pm at (0.0000, 0.0000, 0.0000), Sc at (0.0000, 0.0000, 0.7387) and Co at (0.0000, 0.0000, 0.3494).

The value obtained for the formation energy is -0.087 eV per atom. The density comes out at 6.2 g/cm3. As for the energy relative to the lowest polymorph listed for this composition: 70.8 meV/atom.


DFT (PBE-GGA) results for a relaxed structure of CoBRh2.

The space group is I-42d (No. 122) and the conventional cell measures 6.5378, 6.5378 and 4.6753 Å, with angles of 90.00, 90.00 and 90.00 degrees. The distinct sites, in fractional coordinates, are Co at (0.0000, 0.0000, 0.0000), B at (0.0000, 0.0000, 0.5000) and Rh at (0.1617, 0.2500, 0.6250).

The value obtained for the formation energy is 0.082 eV per atom. The density comes out at 9.2 g/cm3.


DFT (PBE-GGA) results for a relaxed structure of MgSbPt2.

The space group is I-4m2 (No. 119) and the conventional cell measures 4.0126, 4.0126 and 8.7390 Å, with angles of 90.00, 90.00 and 90.00 degrees. The distinct sites, in fractional coordinates, are Mg at (0.0000, 0.0000, 0.0000), Sb at (0.0000, 0.5000, 0.2500), Pt at (0.0000, 0.0000, 0.5000) and Pt at (0.0000, 0.5000, 0.7500).

The energy relative to the elements, uncorrected comes out at -0.496 eV/atom. The density comes out at 12.7 g/cm3.


DFT (PBE-GGA) results for a relaxed structure of La3PrMn.

The space group is Pm-3m (No. 221) and the conventional cell measures 5.4453, 5.4453 and 5.4453 Å, with angles of 90.00, 90.00 and 90.00 degrees. The distinct sites, in fractional coordinates, are La at (0.0000, 0.0000, 0.5000), Pr at (0.5000, 0.5000, 0.5000) and Mn at (0.0000, 0.0000, 0.0000).

The value obtained for the formation energy is 0.215 eV per atom. The density comes out at 6.3 g/cm3.


DFT (PBE-GGA) results for a relaxed structure of VHRu2Rh.

The space group is P4/mmm (No. 123) and the conventional cell measures 3.8716, 3.8716 and 3.8381 Å, with angles of 90.00, 90.00 and 90.00 degrees. The distinct sites, in fractional coordinates, are V at (0.0000, 0.0000, 0.0000), H at (0.5000, 0.5000, 0.5000), Ru at (0.0000, 0.5000, 0.5000) and Rh at (0.5000, 0.5000, 0.0000).

Its total energy is -7.828 eV/atom. The density comes out at 10.3 g/cm3.